No. 1
Compound: NiRh2Cl
Source: Alexandria
Functional: PBEsol
Structure: relaxed

Cell and atoms, written as POSCAR:
```
NiRh2Cl
1.0
2.8026 0.0000 0.0000
1.4013 2.4271 0.0000
1.4013 0.8090 7.8508
Cl Rh Ni
1 2 1
Direct
0.5000 0.5000 0.5000
0.2517 0.2517 0.2448
0.7483 0.7483 0.7552
0.0000 0.0000 0.0000
```

Values from the calculation:
formation energy without anion corrections	1.34	eV/f.u.
space-group type	R-3m, No. 166
excess energy over the best structure of this formula in the dataset	0.122	eV per atom

***

No. 2
Compound: Sc2InRu
Source: Alexandria
Functional: PBEsol
Structure: relaxed

Cell and atoms, written as POSCAR:
```
Sc2InRu
1.0
3.2409 0.0000 0.0000
0.0000 3.2409 0.0000
0.0000 0.0000 7.1426
Ru In Sc
1 1 2
Direct
0.5000 0.5000 0.5000
0.5000 0.5000 0.0000
0.0000 0.0000 0.7115
0.0000 0.0000 0.2885
```

Values from the calculation:
space-group type	P4/mmm, No. 123
energy relative to the elements	-0.59	eV per atom

***

No. 3
Compound: KP2H5O8
Source: Alexandria
Functional: PBEsol
Structure: relaxed

Cell and atoms, written as POSCAR:
```
KP2H5O8
1.0
7.8750 -0.0117 0.0000
-3.9275 8.5963 0.0000
0.0000 0.0000 10.8485
O P H K
32 8 20 4
Direct
0.3935 0.8735 0.2054
0.8584 0.3792 0.7042
0.8584 0.8792 0.7958
0.2541 0.8876 0.0000
0.2175 0.6169 0.9318
0.9110 0.7246 0.3057
0.7459 0.6124 0.5000
0.0890 0.7754 0.8057
0.9394 0.1632 0.4880
0.2541 0.3876 0.5000
0.0606 0.8368 0.5120
0.6065 0.6265 0.7054
0.5712 0.2271 0.5830
0.4559 0.1393 0.2819
0.4288 0.7729 0.4170
0.4559 0.6393 0.2181
0.7825 0.3831 0.0682
0.7825 0.8831 0.4318
0.1416 0.6208 0.2958
0.5441 0.3607 0.7819
0.5441 0.8607 0.7181
0.1416 0.1208 0.2042
0.0606 0.3368 0.9880
0.2175 0.1169 0.5682
0.3935 0.3735 0.2946
0.5712 0.7271 0.9170
0.7459 0.1124 0.0000
0.9110 0.2246 0.1943
0.9394 0.6632 0.0120
0.6065 0.1265 0.7946
0.4288 0.2729 0.0830
0.0890 0.2754 0.6943
0.1251 0.2308 0.5636
0.8749 0.7692 0.4364
0.3495 0.2264 0.2172
0.8749 0.2692 0.0636
0.6505 0.2736 0.7172
0.3495 0.7264 0.2828
0.1251 0.7308 0.9364
0.6505 0.7736 0.7828
0.5725 0.9746 0.7474
0.9711 0.3203 0.7026
0.8755 0.0430 0.4672
0.4268 0.1797 0.5756
0.9711 0.8203 0.7974
0.1245 0.4570 0.9672
0.0289 0.6797 0.2974
0.6899 0.6231 0.5857
0.6899 0.1231 0.9143
0.4268 0.6797 0.9244
0.4275 0.0254 0.2526
0.3101 0.3769 0.4143
0.0289 0.1797 0.2026
0.4275 0.5254 0.2474
0.1245 0.9570 0.5328
0.8755 0.5430 0.0328
0.5732 0.8203 0.4244
0.5732 0.3203 0.0756
0.3101 0.8769 0.0857
0.5725 0.4746 0.7526
0.7862 0.8552 0.1211
0.7862 0.3552 0.3789
0.2138 0.1448 0.8789
0.2138 0.6448 0.6211
```

Values from the calculation:
space-group type	P2_1/c, No. 14
total DFT energy (no corrections)	-395.91	eV per cell